First-principles (PBE) data for a relaxed structure of ReTeAs2, as listed in Alexandria via LeMat-Bulk.

It has space group C2/m (No. 12), with a = 5.611 Å, b = 3.173 Å, c = 9.519 Å, α = 90.00°, β = 99.26° and γ = 90.00°. Symmetry generates all atoms from Re at (0.000, 0.000, 0.000), Te at (0.000, 0.500, 0.500) and As at (0.220, 0.500, 0.188).

The theoretical density comes out at 9.21 g cm⁻³. For the total moment, the calculation gives 0.00 μB per atom. The value obtained for the energy relative to the elements, uncorrected is 0.65 eV/f.u.



First-principles (PBE) data for a relaxed structure of ReTeAs2, as listed in Alexandria via LeMat-Bulk.

It has space group P2/m (No. 10), with a = 4.674 Å, b = 3.259 Å, c = 4.920 Å, α = 90.00°, β = 90.15° and γ = 90.00°. Symmetry generates all atoms from Re at (0.000, 0.000, 0.000), Te at (0.500, 0.500, 0.000), As at (0.000, 0.500, 0.500) and As at (0.500, 0.000, 0.500).

The theoretical density comes out at 10.27 g cm⁻³. For the total moment, the calculation gives 0.00 μB per atom. The value obtained for the energy relative to the elements, uncorrected is 3.36 eV/f.u.



First-principles (PBE) data for a relaxed structure of ReTe2As, as listed in Alexandria via LeMat-Bulk.

It has space group P4mm (No. 99), with a = 3.124 Å, b = 3.124 Å, c = 10.000 Å, α = 90.00°, β = 90.00° and γ = 90.00°. Symmetry generates all atoms from Re at (0.000, 0.000, 0.000), Te at (0.000, 0.000, 0.518), Te at (0.500, 0.500, 0.171) and As at (0.500, 0.500, 0.846).

The theoretical density comes out at 8.79 g cm⁻³. For the total moment, the calculation gives 0.00 μB per atom. The value obtained for the energy relative to the elements, uncorrected is 0.87 eV/f.u.



First-principles (PBE) data for a relaxed structure of ReTeAs2, as listed in Alexandria via LeMat-Bulk.

It has space group Cmm2 (No. 35), with a = 3.228 Å, b = 5.078 Å, c = 9.939 Å, α = 90.00°, β = 90.00° and γ = 90.00°. Symmetry generates all atoms from Re at (0.000, 0.000, 0.000), Te at (0.000, 0.500, 0.238), As at (0.000, 0.000, 0.521) and As at (0.000, 0.500, 0.811).

The theoretical density comes out at 9.45 g cm⁻³. For the total moment, the calculation gives 0.00 μB per atom. The value obtained for the energy relative to the elements, uncorrected is 2.51 eV/f.u.